# YCuSn (PBE, relaxed)
# * symmetry: Cmcm
# * final energy: -31.57 eV/cell
# * calculated volume: 22.13 Å³ per atom
# * formation energy: -0.41 eV/atom
data_YCuSn
_space_group_name_H-M_alt 'P 1'
_space_group_IT_number 1
_space_group_name_Hall 'P 1'
_cell_length_a 3.9415
_cell_length_b 6.0025
_cell_length_c 5.9501
_cell_angle_alpha 90.00
_cell_angle_beta 109.37
_cell_angle_gamma 89.99
loop_
_atom_site_label
_atom_site_type_symbol
_atom_site_fract_x
_atom_site_fract_y
_atom_site_fract_z
_atom_site_occupancy
Y1 Y 0.2692 0.7960 0.9503 1
Y2 Y 0.8934 0.2960 0.1989 1
Cu1 Cu 0.5811 0.5462 0.5747 1
Cu2 Cu 0.5811 0.0462 0.5747 1
Sn1 Sn 0.1787 0.2960 0.7689 1
Sn2 Sn 0.9836 0.7960 0.3803 1